No. 1
4
Lattice="4.735 0.000 0.000 0.000 2.724 0.000 -1.598 0.000 4.462" Properties=species:S:1:pos:R:3 comment="Ru2PtRh GGA-PBE optimized geometry" formation_energy_mev_per_atom=56 pbc="T T T"
Ru 0.000 0.000 0.000
Ru -0.799 1.362 2.231
Pt 1.569 0.000 2.231
Rh 2.368 1.362 0.000

No. 2
12
Lattice="2.694 0.000 0.000 1.343 8.330 0.000 1.344 2.707 9.863" Properties=species:S:1:pos:R:3 comment="RuPt2Rh3 GGA-PBE optimized geometry" formation_energy_mev_per_atom=435 pbc="T T T"
Ru 0.675 0.961 0.567
Ru 4.706 10.076 9.295
Pt 2.018 6.118 3.840
Pt 2.015 2.656 5.184
Pt 3.366 8.381 4.679
Pt 3.363 4.919 6.023
Rh 2.015 7.139 6.709
Rh 2.018 3.613 7.927
Rh 3.362 9.333 7.239
Rh 2.019 1.704 2.624
Rh 3.363 7.425 1.936
Rh 3.366 3.898 3.154